[1]
DyLu2Pb, optimized geometry, DFT PBE; E = -4.575 eV per atom; DFT formation energy = -0.2365 eV per atom; crystal system = tetragonal; space group = P4/mmm; V = 27.676 A^3/atom
1.0
4.8122 0.0000 0.0000
0.0000 4.8122 0.0000
0.0000 0.0000 4.7807
Dy Lu Pb
1 2 1
Direct
0.0000 0.0000 0.0000
0.0000 0.5000 0.5000
0.5000 0.0000 0.5000
0.5000 0.5000 0.0000

***

[2]
DyLuPb2, optimized geometry, DFT PBE; E = -4.514 eV per atom; DFT formation energy = -0.3794 eV per atom; crystal system = tetragonal; space group = P4/mmm; V = 27.576 A^3/atom
1.0
3.5260 0.0000 0.0000
0.0000 3.5260 0.0000
0.0000 0.0000 8.8718
Dy Lu Pb
1 1 2
Direct
0.0000 0.0000 0.0000
0.0000 0.0000 0.5000
0.5000 0.5000 0.2543
0.5000 0.5000 0.7457

***

[3]
DyLu2Pb, optimized geometry, DFT PBE; E = -4.532 eV per atom; DFT formation energy = -0.1942 eV per atom; crystal system = tetragonal; space group = P4/mmm; V = 29.186 A^3/atom
1.0
3.6048 0.0000 0.0000
0.0000 3.6048 0.0000
0.0000 0.0000 8.9840
Dy Lu Pb
1 2 1
Direct
0.0000 0.0000 0.0000
0.5000 0.5000 0.2632
0.5000 0.5000 0.7368
0.0000 0.0000 0.5000

***

[4]
DyLuPb2, optimized geometry, DFT PBE; E = -4.510 eV per atom; DFT formation energy = -0.3752 eV per atom; crystal system = tetragonal; space group = P4/mmm; V = 27.811 A^3/atom
1.0
5.0436 0.0000 0.0000
0.0000 5.0436 0.0000
0.0000 0.0000 4.3732
Dy Lu Pb
1 1 2
Direct
0.0000 0.0000 0.0000
0.5000 0.5000 0.0000
0.0000 0.5000 0.5000
0.5000 0.0000 0.5000

***

[5]
DyLuPb, optimized geometry, DFT PBE; E = -4.568 eV per atom; DFT formation energy = -0.2911 eV per atom; crystal system = tetragonal; space group = I4mm; V = 29.056 A^3/atom
1.0
-1.7837 1.7837 6.8497
1.7837 -1.7837 6.8497
1.7837 1.7837 -6.8497
Dy Lu Pb
1 1 1
Direct
0.0000 0.0000 0.0000
0.6758 0.6758 0.0000
0.3355 0.3355 0.0000

***

[6]
DyLuPb2, optimized geometry, DFT PBE; E = -4.446 eV per atom; DFT formation energy = -0.3115 eV per atom; crystal system = trigonal; space group = R-3m; V = 29.094 A^3/atom
1.0
1.8986 1.0961 9.3200
-1.8986 1.0961 9.3200
0.0000 -2.1923 9.3200
Dy Lu Pb
1 1 2
Direct
0.0000 0.0000 0.0000
0.5000 0.5000 0.5000
0.2487 0.2487 0.2487
0.7513 0.7513 0.7513

***

[7]
DyLuPb, optimized geometry, DFT PBE; E = -4.460 eV per atom; DFT formation energy = -0.1824 eV per atom; crystal system = trigonal; space group = P3m1; V = 29.403 A^3/atom
1.0
5.2669 0.0000 0.0000
-2.6335 4.5613 0.0000
0.0000 0.0000 3.6718
Dy Lu Pb
1 1 1
Direct
0.0000 0.0000 0.0000
0.3333 0.6667 0.5352
0.6667 0.3333 0.3188

***

[8]
DyLu2Pb, optimized geometry, DFT PBE; E = -4.272 eV per atom; DFT formation energy = 0.0665 eV per atom; crystal system = trigonal; space group = R-3m; V = 31.148 A^3/atom
1.0
1.7446 1.0072 11.8176
-1.7446 1.0072 11.8176
0.0000 -2.0144 11.8176
Dy Lu Pb
1 2 1
Direct
0.0000 0.0000 0.0000
0.4118 0.4118 0.4118
0.5882 0.5882 0.5882
0.5000 0.5000 0.5000

***

[9]
DyLuPdPb, optimized geometry, DFT PBE; E = -5.116 eV per atom; DFT formation energy = -0.6103 eV per atom; crystal system = cubic; space group = F-43m; V = 24.327 A^3/atom
1.0
0.0000 3.6507 3.6507
3.6507 0.0000 3.6507
3.6507 3.6507 0.0000
Dy Lu Pd Pb
1 1 1 1
Direct
0.0000 0.0000 0.0000
0.5000 0.5000 0.5000
0.2500 0.2500 0.2500
0.7500 0.7500 0.7500

***

[10]
DyLuPtPb, optimized geometry, DFT PBE; E = -5.457 eV per atom; DFT formation energy = -0.7389 eV per atom; crystal system = cubic; space group = F-43m; V = 24.036 A^3/atom
1.0
0.0000 3.6360 3.6360
3.6360 0.0000 3.6360
3.6360 3.6360 0.0000
Dy Lu Pt Pb
1 1 1 1
Direct
0.0000 0.0000 0.0000
0.5000 0.5000 0.5000
0.2500 0.2500 0.2500
0.7500 0.7500 0.7500

***

[11]
DyLuSnPb, optimized geometry, DFT PBE; E = -4.628 eV per atom; DFT formation energy = -0.4194 eV per atom; crystal system = cubic; space group = F-43m; V = 27.299 A^3/atom
1.0
0.0000 3.7937 3.7937
3.7937 0.0000 3.7937
3.7937 3.7937 0.0000
Dy Lu Sn Pb
1 1 1 1
Direct
0.0000 0.0000 0.0000
0.5000 0.5000 0.5000
0.2500 0.2500 0.2500
0.7500 0.7500 0.7500

***

[12]
DyLuTlPb, optimized geometry, DFT PBE; E = -4.103 eV per atom; DFT formation energy = -0.3039 eV per atom; crystal system = cubic; space group = F-43m; V = 27.458 A^3/atom
1.0
0.0000 3.8010 3.8010
3.8010 0.0000 3.8010
3.8010 3.8010 0.0000
Dy Lu Tl Pb
1 1 1 1
Direct
0.0000 0.0000 0.0000
0.5000 0.5000 0.5000
0.2500 0.2500 0.2500
0.7500 0.7500 0.7500

***

Q: What is the E in the eighth record?
A: -4.272 eV per atom

***

Q: What is the formula in the ninth record?
A: DyLuPdPb

***

Q: Which formula does entry 11 have?
A: DyLuSnPb

***

Q: Which of these has the highest V?
A: number 8